The following is a PBE-GGA calculation of an optimized crystal structure of PmAs2Rh, from Alexandria via LeMat-Bulk.

Results
* total magnetization: 0.0 μB per formula unit
* symmetry: F222 (22)
* V: 86.0 Å³ per cell
* energy above the lowest structure with this stoichiometry: 0.035 eV per atom
* DFT total energy: -6.249 eV/atom

a = 5.8723 Å, b = 5.8702 Å, c = 4.1059 Å
α = 69.56°, β = 69.51°, γ = 40.93°
Last column: nearest neighbours and their distance in Å.
Sites, in units of the cell vectors:
Pm: 0.0000 0.0000 0.0000  8 As 3.17-3.18, 4 Rh 3.27
As: 0.3739 0.3739 0.6261  2 Rh 2.41, 1 As 2.57
As: 0.6261 0.6261 0.3739  2 Rh 2.41, 1 As 2.57
Rh: 0.2500 0.2500 0.2500  4 As 2.41